The following is a DFT calculation (SCAN) of a PBEsol-optimized structure of YCrHg.

Calculated values
Total DFT energy (no corrections) in eV per formula unit: -114.49
Energy relative to the elements in eV/atom: -0.032
Distance to the lowest polymorph of the same formula in eV/atom: 0.189

```
12
Lattice="6.696 0.000 0.000 0.000 6.696 0.000 0.000 0.000 6.696" Properties=species:S:1:pos:R:3 pbc="T T T"
Y 0.000 0.000 0.000
Y 0.000 3.348 3.348
Y 3.348 0.000 3.348
Y 3.348 3.348 0.000
Cr 0.000 0.000 3.348
Cr 0.000 3.348 0.000
Cr 3.348 0.000 0.000
Cr 3.348 3.348 3.348
Hg 1.674 1.674 5.022
Hg 1.674 5.022 1.674
Hg 5.022 1.674 1.674
Hg 5.022 5.022 5.022
```


The following is a DFT calculation (SCAN) of a PBEsol-optimized structure of YCrHg2.

Calculated values
Total DFT energy (no corrections) in eV per formula unit: -183.84
Energy relative to the elements in eV/atom: -0.321
Distance to the lowest polymorph of the same formula in eV/atom: 0.000

```
4
Lattice="3.455 0.000 0.000 0.000 3.455 0.000 0.000 0.000 6.992" Properties=species:S:1:pos:R:3 pbc="T T T"
Y 0.000 0.000 0.000
Cr 0.000 0.000 3.496
Hg 1.728 1.728 1.973
Hg 1.728 1.728 5.019
```


The following is a DFT calculation (SCAN) of a PBEsol-optimized structure of YCrHg.

Calculated values
Total DFT energy (no corrections) in eV per formula unit: -115.06
Energy relative to the elements in eV/atom: -0.221
Distance to the lowest polymorph of the same formula in eV/atom: 0.000

```
6
Lattice="3.675 0.000 0.000 0.000 3.675 0.000 0.000 0.000 9.484" Properties=species:S:1:pos:R:3 pbc="T T T"
Y 0.000 0.000 0.000
Y 1.837 1.837 4.742
Cr 0.000 0.000 6.370
Cr 1.837 1.837 1.628
Hg 0.000 0.000 3.039
Hg 1.837 1.837 7.781
```